Record 1
Here is a relaxed BaNaRe2Mo crystal from the Alexandria database. Energies are from PBE-GGA.

Geometry as CIF:
```
data_BaNaRe2Mo
_space_group_name_H-M_alt 'P 4/m m m'
_space_group_IT_number 123
_space_group_name_Hall '-P 4 2'
_cell_length_a 5.095
_cell_length_b 5.095
_cell_length_c 5.125
_cell_angle_alpha 90.00
_cell_angle_beta 90.00
_cell_angle_gamma 90.00
loop_
_atom_site_label
_atom_site_type_symbol
_atom_site_fract_x
_atom_site_fract_y
_atom_site_fract_z
_atom_site_occupancy
Ba1 Ba 0.000 0.000 0.000 1
Na1 Na 0.500 0.500 0.500 1
Re1 Re 0.000 0.500 0.000 1
Mo1 Mo 0.000 0.000 0.500 1
```

Calculated values
Mass density ... 7.85 Mg/m³
E_form ... 16.87 eV/f.u.

Record 2
Here is a relaxed BaNaMoS2 crystal from the Alexandria database. Energies are from PBE-GGA.

Geometry as CIF:
```
data_BaNaMoS2
_space_group_name_H-M_alt 'P 4/m m m'
_space_group_IT_number 123
_space_group_name_Hall '-P 4 2'
_cell_length_a 4.782
_cell_length_b 4.782
_cell_length_c 5.240
_cell_angle_alpha 90.00
_cell_angle_beta 90.00
_cell_angle_gamma 90.00
loop_
_atom_site_label
_atom_site_type_symbol
_atom_site_fract_x
_atom_site_fract_y
_atom_site_fract_z
_atom_site_occupancy
Ba1 Ba 0.000 0.000 0.000 1
Na1 Na 0.500 0.500 0.000 1
Mo1 Mo 0.500 0.500 0.500 1
S1 S 0.000 0.500 0.500 1
```

Calculated values
Mass density ... 4.44 Mg/m³
E_form (uncorrected) ... -2.34 eV per formula unit

Record 3
Here is a relaxed BaNb4Mo2 crystal from the Alexandria database. Energies are from PBE-GGA.

Geometry as CIF:
```
data_BaNb4Mo2
_space_group_name_H-M_alt 'I 4/m m m'
_space_group_IT_number 139
_space_group_name_Hall '-I 4 2'
_cell_length_a 5.131
_cell_length_b 5.131
_cell_length_c 12.974
_cell_angle_alpha 90.00
_cell_angle_beta 90.00
_cell_angle_gamma 90.00
loop_
_atom_site_label
_atom_site_type_symbol
_atom_site_fract_x
_atom_site_fract_y
_atom_site_fract_z
_atom_site_occupancy
Ba1 Ba 0.000 0.000 0.000 1
Nb1 Nb 0.000 0.000 0.214 1
Nb2 Nb 0.000 0.500 0.000 1
Mo1 Mo 0.000 0.000 0.391 1
```

Calculated values
Mass density ... 6.81 Mg/m³
E_form ... 14.66 eV/f.u.

Record 4
Here is a relaxed BaNb2Mo crystal from the Alexandria database. Energies are from PBE-GGA.

Geometry as CIF:
```
data_BaNb2Mo
_space_group_name_H-M_alt 'I -4 2 d'
_space_group_IT_number 122
_space_group_name_Hall 'I -4 2bw'
_cell_length_a 5.300
_cell_length_b 5.300
_cell_length_c 17.541
_cell_angle_alpha 90.00
_cell_angle_beta 90.00
_cell_angle_gamma 90.00
loop_
_atom_site_label
_atom_site_type_symbol
_atom_site_fract_x
_atom_site_fract_y
_atom_site_fract_z
_atom_site_occupancy
Ba1 Ba 0.000 0.000 0.000 1
Nb1 Nb 0.007 0.250 0.625 1
Mo1 Mo 0.000 0.000 0.500 1
```

Calculated values
Mass density ... 5.65 Mg/m³
E_form ... 5.36 eV/f.u.
Energy above the lowest structure with this stoichiometry ... 1.08 eV per formula unit

Number 1: calculated volume 26.6 A^3/atom. Number 2: calculated volume 24.0 A^3/atom. Number 3: calculated volume 24.4 A^3/atom. Number 4: calculated volume 30.8 A^3/atom.